# NaHo3Te4

NaHo3Te4 after structural relaxation (PBE, Alexandria via LeMat-Bulk).

## Properties
- Energy relative to the lowest polymorph listed for this composition: 0 meV per atom
- Crystal system: tetragonal
- Final energy: -37.80 eV for the cell shown

Unit cell a=6.1646 b=6.1646 c=7.5656 alpha=114.04 beta=114.04 gamma=90.00
Positions (direct):
Te: 0.7499 0.7499 0.4998
Te: 0.5000 0.0000 0.0000
Ho: 0.5000 0.5000 0.0000
Na: 0.0000 0.0000 0.0000
Ho: 0.2500 0.7500 0.5000
Te: 0.2501 0.2501 0.5002
Ho: 0.7500 0.2500 0.5000
Te: 0.0000 0.5000 0.0000